# FeAuBr

FeAuBr after structural relaxation (PBE, Alexandria via LeMat-Bulk).

Lattice parameters (Å, degrees): 4.4709 4.4709 4.4709 60.00 60.00 60.00
Closest atoms and distances in Å follow each position.
Positions (direct):
1 Au 0.0000 0.0000 0.0000  4 Fe 2.74
2 Br 0.5000 0.5000 0.5000  4 Fe 2.74
3 Fe 0.2500 0.2500 0.2500  4 Br 2.74, 4 Au 2.74

magnetization: 3.3 μB/f.u.
formation energy without anion corrections: 1.47 eV/f.u.
E: -11.944 eV/f.u.
SG: F-43m, No. 216
energy above the lowest structure with this stoichiometry: 0.92 eV/f.u.
calculated volume: 63.20 Å³/f.u.


# FeAuBr2

FeAuBr2 after structural relaxation (PBE, Alexandria via LeMat-Bulk).

Lattice parameters (Å, degrees): 4.9228 4.9228 4.9228 60.00 60.00 60.00
Closest atoms and distances in Å follow each position.
Positions (direct):
1 Au 0.5000 0.5000 0.5000  8 Br 3.01
2 Fe 0.0000 0.0000 0.0000  8 Br 3.01
3 Br 0.2500 0.2500 0.2500  4 Fe 3.01, 4 Au 3.01
4 Br 0.7500 0.7500 0.7500  4 Au 3.01, 4 Fe 3.01

magnetization: 3.1 μB/f.u.
formation energy without anion corrections: 2.09 eV/f.u.
E: -12.994 eV/f.u.
SG: Fm-3m, No. 225
energy above the lowest structure with this stoichiometry: 2.13 eV/f.u.
calculated volume: 84.36 Å³/f.u.


# FeAu2Br

FeAu2Br after structural relaxation (PBE, Alexandria via LeMat-Bulk).

Lattice parameters (Å, degrees): 3.2709 4.3357 5.6719 90.00 90.00 90.00
Closest atoms and distances in Å follow each position.
Positions (direct):
1 Au 0.0000 0.0000 0.0000  4 Au 2.72
2 Au 0.5000 0.5000 0.0000  4 Au 2.72
3 Br 0.5000 0.0000 0.5000  4 Fe 2.72
4 Fe 0.0000 0.5000 0.5000  4 Br 2.72

magnetization: 3.5 μB/f.u.
formation energy without anion corrections: 1.82 eV/f.u.
E: -14.871 eV/f.u.
SG: Pmmm, No. 47
energy above the lowest structure with this stoichiometry: 1.27 eV/f.u.
calculated volume: 80.44 Å³/f.u.


# FeAuBr2

FeAuBr2 after structural relaxation (PBE, Alexandria via LeMat-Bulk).

Lattice parameters (Å, degrees): 3.8095 6.5436 3.8624 90.00 90.00 90.00
Closest atoms and distances in Å follow each position.
Positions (direct):
1 Au 0.0000 0.5000 0.5000  4 Br 2.71
2 Br 0.0000 0.0000 0.0000  4 Fe 2.71
3 Br 0.5000 0.5000 0.0000  4 Au 2.71
4 Fe 0.5000 0.0000 0.5000  4 Br 2.71

magnetization: 3.4 μB/f.u.
formation energy without anion corrections: 1.65 eV/f.u.
E: -13.433 eV/f.u.
SG: Pmmm, No. 47
energy above the lowest structure with this stoichiometry: 1.69 eV/f.u.
calculated volume: 96.28 Å³/f.u.


# FeAu2Br

FeAu2Br after structural relaxation (PBE, Alexandria via LeMat-Bulk).

Lattice parameters (Å, degrees): 9.0927 9.0927 9.0927 20.60 20.60 20.60
Closest atoms and distances in Å follow each position.
Positions (direct):
1 Au 0.0106 0.0106 0.0106  3 Fe 2.66, 3 Au 2.84
2 Au 0.2638 0.2638 0.2638  3 Au 2.84
3 Br 0.4775 0.4775 0.4775  3 Fe 2.52
4 Fe 0.7480 0.7480 0.7480  3 Br 2.52, 3 Au 2.66

magnetization: 3.5 μB/f.u.
formation energy without anion corrections: 0.77 eV/f.u.
E: -15.920 eV/f.u.
SG: R3m, No. 160
energy above the lowest structure with this stoichiometry: 0.22 eV/f.u.
calculated volume: 81.48 Å³/f.u.


# FeAu2Br

FeAu2Br after structural relaxation (PBE, Alexandria via LeMat-Bulk).

Lattice parameters (Å, degrees): 3.4818 5.2267 5.2274 61.95 90.00 90.00
Closest atoms and distances in Å follow each position.
Positions (direct):
1 Au 0.0000 0.9682 0.9682  2 Fe 2.62, 2 Au 2.75
2 Au 0.0000 0.5318 0.5318  2 Fe 2.62, 2 Au 2.75
3 Br 0.5000 0.2500 0.2500  2 Fe 2.69
4 Fe 0.5000 0.7500 0.7500  4 Au 2.62, 2 Br 2.69

magnetization: 3.9 μB/f.u.
formation energy without anion corrections: 1.45 eV/f.u.
E: -15.238 eV/f.u.
SG: Cmmm, No. 65
energy above the lowest structure with this stoichiometry: 0.90 eV/f.u.
calculated volume: 83.96 Å³/f.u.


# FeAu2Br

FeAu2Br after structural relaxation (PBE, Alexandria via LeMat-Bulk).

Lattice parameters (Å, degrees): 5.8344 5.8344 5.8344 150.77 120.87 67.31
Closest atoms and distances in Å follow each position.
Positions (direct):
1 Au 0.0293 0.0293 0.0000  2 Fe 2.61, 2 Au 2.92
2 Au 0.7698 0.2698 0.5000  4 Au 2.92-2.94, 4 Fe 3.24
3 Br 0.4501 0.4501 0.0000  2 Fe 2.43
4 Fe 0.2508 0.7508 0.5000  2 Br 2.43, 2 Au 2.61

magnetization: 3.4 μB/f.u.
formation energy without anion corrections: 1.61 eV/f.u.
E: -15.078 eV/f.u.
SG: Imm2, No. 44
energy above the lowest structure with this stoichiometry: 1.06 eV/f.u.
calculated volume: 82.33 Å³/f.u.


# FeAuBr

FeAuBr after structural relaxation (PBE, Alexandria via LeMat-Bulk).

Lattice parameters (Å, degrees): 6.9589 6.9589 6.9589 154.25 154.25 36.74
Closest atoms and distances in Å follow each position.
Positions (direct):
1 Au 0.0414 0.0414 0.0000  4 Fe 2.77, 4 Au 3.10
2 Br 0.2890 0.2890 0.0000  4 Fe 2.70
3 Fe 0.6695 0.6695 0.0000  4 Br 2.70, 4 Au 2.77

magnetization: 3.5 μB/f.u.
formation energy without anion corrections: 0.79 eV/f.u.
E: -12.626 eV/f.u.
SG: I4mm, No. 107
energy above the lowest structure with this stoichiometry: 0.24 eV/f.u.
calculated volume: 63.52 Å³/f.u.


# GaFe2AuBr

GaFe2AuBr after structural relaxation (PBE, Alexandria via LeMat-Bulk).

Lattice parameters (Å, degrees): 4.6168 5.1737 4.6168 90.00 90.00 90.00
Closest atoms and distances in Å follow each position.
Positions (direct):
1 Au 0.5000 0.5000 0.5000  4 Br 3.26, 8 Fe 3.47
2 Ga 0.0000 0.0000 0.0000  4 Fe 2.31
3 Br 0.0000 0.5000 0.0000  2 Ga 2.59
4 Fe 0.0000 0.0000 0.5000  2 Ga 2.31
5 Fe 0.5000 0.0000 0.0000  2 Ga 2.31

magnetization: 5.5 μB/f.u.
formation energy without anion corrections: 5.51 eV/f.u.
E: -19.394 eV/f.u.
SG: P4/mmm, No. 123
calculated volume: 110.28 Å³/f.u.


# HfFeAuBr2

HfFeAuBr2 after structural relaxation (PBE, Alexandria via LeMat-Bulk).

Lattice parameters (Å, degrees): 5.2377 5.4181 5.2377 90.00 90.00 90.00
Closest atoms and distances in Å follow each position.
Positions (direct):
1 Hf 0.0000 0.5000 0.0000  2 Au 2.71
2 Au 0.0000 0.0000 0.0000  4 Br 2.62, 2 Hf 2.71
3 Fe 0.5000 0.5000 0.5000  4 Hf 3.70, 8 Br 3.77
4 Br 0.0000 0.0000 0.5000  2 Au 2.62
5 Br 0.5000 0.0000 0.0000  2 Au 2.62

magnetization: 2.9 μB/f.u.
formation energy without anion corrections: 5.57 eV/f.u.
E: -19.470 eV/f.u.
SG: P4/mmm, No. 123
calculated volume: 148.64 Å³/f.u.


# LaFeAu2Br

LaFeAu2Br after structural relaxation (PBE, Alexandria via LeMat-Bulk).

Lattice parameters (Å, degrees): 4.9830 4.7951 4.9830 90.00 90.00 90.00
Closest atoms and distances in Å follow each position.
Positions (direct):
1 Au 0.0000 0.0000 0.5000  2 Fe 2.49
2 Au 0.5000 0.0000 0.0000  2 Fe 2.49
3 Fe 0.0000 0.0000 0.0000  2 Br 2.40, 4 Au 2.49
4 Br 0.0000 0.5000 0.0000  2 Fe 2.40
5 La 0.5000 0.5000 0.5000  8 Au 3.46, 4 Br 3.52

magnetization: 2.4 μB/f.u.
formation energy without anion corrections: -1.06 eV/f.u.
E: -22.679 eV/f.u.
SG: P4/mmm, No. 123
calculated volume: 119.06 Å³/f.u.


# La6FeAu2Br3

La6FeAu2Br3 after structural relaxation (PBE, Alexandria via LeMat-Bulk).

Lattice parameters (Å, degrees): 7.4780 7.4780 8.1790 98.68 98.68 120.25
Closest atoms and distances in Å follow each position.
Positions (direct):
1 La 0.9328 0.6317 0.7976  1 Fe 2.75, 2 Au 3.05
2 La 0.7636 0.7636 0.2004  1 Fe 2.74, 2 Au 3.05
3 La 0.0672 0.3683 0.2024  1 Fe 2.75, 2 Au 3.05
4 La 0.6317 0.9328 0.7976  1 Fe 2.75, 2 Au 3.05
5 La 0.2364 0.2364 0.7996  1 Fe 2.74, 2 Au 3.05
6 La 0.3683 0.0672 0.2024  1 Fe 2.75, 2 Au 3.05
7 Fe 0.0000 0.0000 0.0000  6 La 2.74-2.75
8 Au 0.3323 0.6677 0.0000  6 La 3.05
9 Au 0.6677 0.3323 0.0000  6 La 3.05
10 Br 0.1619 0.8381 0.5000  6 La 3.30-3.63
11 Br 0.8381 0.1619 0.5000  6 La 3.30-3.63
12 Br 0.5000 0.5000 0.5000  6 La 3.33-3.57

magnetization: 0.0 μB/f.u.
formation energy without anion corrections: -11.45 eV/f.u.
E: -61.051 eV/f.u.
SG: C2/m, No. 12
calculated volume: 376.53 Å³/f.u.